No. 1
# TlFeBr3, PBEsol geometry, DFT SCAN
data_TlFeBr3
_cell_length_a 5.096
_cell_length_b 5.096
_cell_length_c 5.096
_cell_angle_alpha 90.00
_cell_angle_beta 90.00
_cell_angle_gamma 90.00
_space_group_name_H-M_alt 'P m -3 m'
_space_group_IT_number 221
_space_group_name_Hall '-P 4 2 3'
loop_
_atom_site_label
_atom_site_type_symbol
_atom_site_fract_x
_atom_site_fract_y
_atom_site_fract_z
Tl1 Tl 0.000 0.000 0.000
Fe1 Fe 0.500 0.500 0.500
Br1 Br 0.000 0.500 0.500
# uncorrected formation energy = -648 meV per atom

=====

No. 2
# Tl2FeBr, PBEsol geometry, DFT SCAN
data_Tl2FeBr
_cell_length_a 3.456
_cell_length_b 3.459
_cell_length_c 7.520
_cell_angle_alpha 90.00
_cell_angle_beta 90.80
_cell_angle_gamma 90.00
_space_group_name_H-M_alt 'P 1 2/m 1'
_space_group_IT_number 10
loop_
_space_group_symop_operation_xyz
'x,y,z'
'-x,-y,-z'
'-x,y,-z'
'x,-y,z'
loop_
_atom_site_label
_atom_site_type_symbol
_atom_site_fract_x
_atom_site_fract_y
_atom_site_fract_z
Tl1 Tl 0.005 0.000 0.206
Fe1 Fe 0.500 0.500 0.000
Br1 Br 0.500 0.500 0.500
# uncorrected formation energy = 247 meV per atom

=====

No. 3
# TlFe2Br, PBEsol geometry, DFT SCAN
data_TlFe2Br
_cell_length_a 3.162
_cell_length_b 3.162
_cell_length_c 7.549
_cell_angle_alpha 90.00
_cell_angle_beta 90.00
_cell_angle_gamma 90.00
_space_group_name_H-M_alt 'P 4 m m'
_space_group_IT_number 99
loop_
_space_group_symop_operation_xyz
'x,y,z'
'-y,x,z'
'-x,-y,z'
'y,-x,z'
'-x,y,z'
'y,x,z'
'x,-y,z'
'-y,-x,z'
loop_
_atom_site_label
_atom_site_type_symbol
_atom_site_fract_x
_atom_site_fract_y
_atom_site_fract_z
Tl1 Tl 0.000 0.000 0.000
Fe1 Fe 0.000 0.000 0.607
Fe2 Fe 0.500 0.500 0.753
Br1 Br 0.500 0.500 0.412
# uncorrected formation energy = 219 meV per atom

=====

no.,distance to the lowest polymorph of the same formula (meV/atom)
1,0
2,138
3,0